Record 1
Compound: Ac2LaPm3Te6
Source: the Alexandria database
Functional: PBE
Structure: optimized geometry

Structure (extended XYZ):
```
12
Lattice="-4.9780 -1.6067 -5.9415 3.1856 -5.8778 4.2388 -5.1854 2.8180 5.3405" Properties=species:S:1:pos:R:3 pbc="T T T"
Te -3.1475 -0.4393 -0.6956
Ac 0.4587 -4.4511 0.8382
La 0.0000 0.0000 0.0000
Te -6.5064 -2.8271 0.9961
Pm -0.8053 -3.7372 5.1653
Te -3.8302 -4.2272 4.3333
Pm -3.4889 -2.3333 1.8189
Ac -2.2511 -3.0334 -2.5410
Pm -6.1724 -0.9293 -1.5276
Te -2.7498 -4.9499 0.1284
Te -0.4714 -1.8394 2.6416
Te -4.2280 0.2834 3.5093
```

Output
Formation energy from raw total energies ... -17.6 eV per formula unit

=====

Record 2
Compound: LiTbIr
Source: the Alexandria database
Functional: PBE
Structure: optimized geometry

Structure (extended XYZ):
```
18
Lattice="-2.8658 2.6287 -0.8572 -3.3359 -4.8886 -3.8390 -6.2083 -3.5240 9.9485" Properties=species:S:1:pos:R:3 pbc="T T T"
Ir -4.8017 -3.9339 -0.6354
Ir -8.9344 -6.2452 6.0932
Tb -6.3221 -2.0334 1.0261
Li -6.5026 -5.2433 1.0358
Tb -4.0913 0.7121 1.9869
Tb -8.3187 -6.4961 3.2654
Li -9.2200 -3.9171 4.9375
Li -5.9073 -0.5407 4.2165
Tb -7.5439 -4.2337 7.6128
Ir -8.2745 -3.7287 2.3543
Li -11.1532 -6.1096 4.6772
Ir -4.1354 -2.0553 2.8980
Li -3.1900 -1.8669 0.3148
Tb -6.0878 -3.7506 4.2262
Li -1.2567 0.3256 0.5751
Ir -3.4755 0.4612 -0.8410
Tb -4.8660 -1.5503 -2.3605
Ir -7.6083 -1.8501 5.8877
```

Output
Formation energy from the elements ... -0.510 eV/atom
Energy above the most stable polymorph in this dataset ... 0 meV per atom

=====

It is found that the spin magnetization values, taken in the order of the records, are 0.00 0.00 μB/f.u..
It is found that the raw total energy values, taken in the order of the records, are -5.320 -5.645 eV per atom.
It is found that the DOS(E_F) values, taken in the order of the records, are 0.587 0.439 states/eV/atom.